[1]
Density functional theory data (PBE) for crystalline Rb2Cd7Ag2 at its relaxed geometry.

The value obtained for the total moment is 0.000 μB per atom. As for the energy of formation: -0.030 eV/atom. The density of states at the Fermi level comes out at 4.2 states/eV/cell.

a = 7.683 Å, b = 7.683 Å, c = 7.178 Å
α = 117.37°, β = 117.37°, γ = 62.29°
Atoms (fractional coordinates):
Rb: 0.250 0.750 0.000
Rb: 0.750 0.250 0.000
Cd: 0.000 0.000 0.500
Cd: 0.174 0.543 0.379
Cd: 0.239 0.239 0.946
Cd: 0.457 0.826 0.621
Cd: 0.543 0.174 0.379
Cd: 0.761 0.761 0.054
Cd: 0.826 0.457 0.621
Ag: 0.233 0.233 0.537
Ag: 0.767 0.767 0.463

[2]
Density functional theory data (PBE) for crystalline AuICl at its relaxed geometry.

The value obtained for the total moment is 0.000 μB per atom. The energy above the most stable polymorph in this dataset comes out at 0.145 eV per atom. The calculation puts the uncorrected formation energy at 23 meV per atom. The density of states at the Fermi level comes out at 0.7 states/eV/cell.

a = 4.116 Å, b = 4.896 Å, c = 11.560 Å
α = 81.92°, β = 84.96°, γ = 66.99°
Atoms (fractional coordinates):
Au: 0.195 0.082 0.066
Au: 0.805 0.918 0.934
I: 0.419 0.743 0.806
I: 0.581 0.257 0.194
Cl: 0.157 0.414 0.428
Cl: 0.843 0.586 0.572

[3]
Density functional theory data (PBE) for crystalline HoIn2AgTe4 at its relaxed geometry.

The value obtained for the total moment is 0.000 μB per atom. The calculation puts the uncorrected formation energy at -526 meV per atom. The density of states at the Fermi level comes out at 3.5 states/eV/cell.

a = 7.642 Å, b = 4.340 Å, c = 7.766 Å
α = 90.00°, β = 108.92°, γ = 90.00°
Atoms (fractional coordinates):
Ho: 0.000 0.000 0.000
In: 0.000 0.500 0.500
In: 0.500 0.000 0.500
Ag: 0.500 0.500 0.000
Te: 0.243 0.500 0.237
Te: 0.250 0.000 0.759
Te: 0.750 0.000 0.241
Te: 0.757 0.500 0.763

[4]
Density functional theory data (PBE) for crystalline Sn2TeMo2 at its relaxed geometry.

The value obtained for the total moment is 0.000 μB per atom. The calculation puts the uncorrected formation energy at 327 meV per atom. The density of states at the Fermi level comes out at 4.6 states/eV/cell.

a = 7.509 Å, b = 7.509 Å, c = 3.636 Å
α = 90.00°, β = 90.00°, γ = 90.00°
Atoms (fractional coordinates):
Sn: 0.143 0.357 0.000
Sn: 0.357 0.857 0.000
Sn: 0.643 0.143 0.000
Sn: 0.857 0.643 0.000
Te: 0.000 0.000 0.500
Te: 0.500 0.500 0.500
Mo: 0.153 0.653 0.500
Mo: 0.347 0.153 0.500
Mo: 0.653 0.847 0.500
Mo: 0.847 0.347 0.500